Compound: Th6BiOs2Se3
Source: Alexandria
Functional: PBE
Structure: relaxed Values from VASP.

```
&SYSTEM
  ibrav = 0, nat = 12, ntyp = 4
/
ATOMIC_SPECIES
Th 232.04 Th.upf
Os 190.23 Os.upf
Se 78.96 Se.upf
Bi 208.98 Bi.upf
CELL_PARAMETERS angstrom
4.213 0.000 0.000
0.000 8.881 0.287
-2.107 -2.593 9.032
ATOMIC_POSITIONS crystal
Th 0.016 0.276 0.031
Os 0.830 0.663 0.660
Se 0.844 0.163 0.687
Bi 0.500 0.000 0.000
Th 0.325 0.435 0.650
Th 0.675 0.565 0.350
Os 0.170 0.337 0.340
Th 0.984 0.724 0.969
Se 0.500 0.500 0.000
Se 0.156 0.837 0.313
Th 0.676 0.123 0.353
Th 0.324 0.877 0.647
```

- formation energy from raw total energies (eV/atom) = -1.0103
- spin magnetization (Bohr magnetons per cell) = 0.00